The following is a PBE-GGA calculation of CePuAu3 after structural relaxation, from Alexandria via LeMat-Bulk.

Values from the calculation:
DFT total energy = -6.48 eV/atom
DFT formation energy = -0.464 eV/atom
space-group type = P2_1/m, No. 11
offset from the most stable computed form = 86 meV/atom

a = 5.5298 Å, b = 5.6900 Å, c = 7.7399 Å
α = 90.00°, β = 104.03°, γ = 90.00°
Fractional positions:
Ce  0.2364  0.2500  0.0596
Ce  0.7636  0.7500  0.9404
Pu  0.0449  0.2500  0.6154
Pu  0.9551  0.7500  0.3846
Au  0.2018  0.7500  0.7774
Au  0.3699  0.7500  0.1705
Au  0.5000  0.0000  0.5000
Au  0.5000  0.5000  0.5000
Au  0.6301  0.2500  0.8295
Au  0.7982  0.2500  0.2226



The following is a PBE-GGA calculation of NaY3Fe after structural relaxation, from Alexandria via LeMat-Bulk.

Values from the calculation:
DFT total energy = -4.23 eV/atom
DFT formation energy = 1.603 eV/atom
space-group type = Pm-3m, No. 221
offset from the most stable computed form = 1458 meV/atom

a = 5.3793 Å, b = 5.3793 Å, c = 5.3793 Å
α = 90.00°, β = 90.00°, γ = 90.00°
Fractional positions:
Na  0.0000  0.0000  0.0000
Y  0.0000  0.0000  0.5000
Y  0.0000  0.5000  0.0000
Y  0.5000  0.0000  0.0000
Fe  0.5000  0.5000  0.5000



The following is a PBE-GGA calculation of CuHgP2O after structural relaxation, from Alexandria via LeMat-Bulk.

Values from the calculation:
DFT total energy = -3.56 eV/atom
formation energy (no corrections) = 473 meV per atom
space-group type = P4/mmm, No. 123
offset from the most stable computed form = 0 meV/atom

a = 4.3829 Å, b = 4.3829 Å, c = 4.0039 Å
α = 90.00°, β = 90.00°, γ = 90.00°
Fractional positions:
Cu  0.0000  0.0000  0.0000
Hg  0.5000  0.5000  0.0000
P  0.0000  0.5000  0.5000
P  0.5000  0.0000  0.5000
O  0.0000  0.0000  0.5000



The following is a PBE-GGA calculation of Y3ScTc after structural relaxation, from Alexandria via LeMat-Bulk.

Values from the calculation:
DFT total energy = -6.97 eV/atom
DFT formation energy = 0.247 eV/atom
space-group type = Pm-3m, No. 221
offset from the most stable computed form = 262 meV/atom

a = 5.3533 Å, b = 5.3533 Å, c = 5.3533 Å
α = 90.00°, β = 90.00°, γ = 90.00°
Fractional positions:
Y  0.0000  0.0000  0.5000
Y  0.0000  0.5000  0.0000
Y  0.5000  0.0000  0.0000
Sc  0.5000  0.5000  0.5000
Tc  0.0000  0.0000  0.0000



The following is a PBE-GGA calculation of BeBiRhSe2 after structural relaxation, from Alexandria via LeMat-Bulk.

Values from the calculation:
DFT total energy = -4.12 eV/atom
formation energy (no corrections) = 264 meV per atom
space-group type = P4/mmm, No. 123

a = 4.8233 Å, b = 4.8233 Å, c = 4.1921 Å
α = 90.00°, β = 90.00°, γ = 90.00°
Fractional positions:
Be  0.0000  0.0000  0.0000
Bi  0.5000  0.5000  0.5000
Rh  0.0000  0.0000  0.5000
Se  0.0000  0.5000  0.0000
Se  0.5000  0.0000  0.0000



The following is a PBE-GGA calculation of Y3Ho2ErTm6 after structural relaxation, from Alexandria via LeMat-Bulk.

Values from the calculation:
DFT total energy = -4.97 eV/atom
DFT formation energy = 0.027 eV/atom
space-group type = C2/m, No. 12

a = 6.0867 Å, b = 6.0867 Å, c = 11.6566 Å
α = 94.99°, β = 94.99°, γ = 119.93°
Fractional positions:
Y  0.0000  0.0000  0.0000
Y  0.3333  0.6667  0.0000
Y  0.6667  0.3333  0.0000
Ho  0.1666  0.8334  0.5000
Ho  0.8334  0.1666  0.5000
Er  0.5000  0.5000  0.5000
Tm  0.0840  0.4173  0.2519
Tm  0.2495  0.2495  0.7482
Tm  0.4173  0.0840  0.2519
Tm  0.5827  0.9160  0.7481
Tm  0.7505  0.7505  0.2518
Tm  0.9160  0.5827  0.7481